No. 1
Computed, not measured: an optimized crystal structure of Sr3Tl4Cd2 at the PBE level of DFT.

Calculated values
As for the density of states at the Fermi level: 0.47 states/eV per atom. The formation energy comes out at -0.336 eV per atom.

Cell lengths 12.0774, 5.2255, 9.8619 Å; angles 90.00, 114.71, 90.00 degrees
Space group C2/m (No. 12)
Unique sites:
Sr  0.0000  0.0000  0.0000 (multiplicity 2)
Sr  0.1601  0.5000  0.6726 (multiplicity 4)
Tl  0.0768  0.0000  0.4054 (multiplicity 4)
Tl  0.2037  0.5000  0.0444 (multiplicity 4)
Cd  0.1221  0.5000  0.2909 (multiplicity 4)

***

No. 2
Computed, not measured: an optimized crystal structure of VCdPd6 at the PBE level of DFT.

Calculated values
As for the density of states at the Fermi level: 0.72 states/eV per atom. The formation energy comes out at -0.287 eV per atom.

Cell lengths 3.9584, 3.9584, 7.9099 Å; angles 90.00, 90.00, 90.00 degrees
Space group P4/mmm (No. 123)
Unique sites:
V  0.0000  0.0000  0.0000 (multiplicity 1)
Cd  0.0000  0.0000  0.5000 (multiplicity 1)
Pd  0.0000  0.5000  0.2339 (multiplicity 4)
Pd  0.5000  0.5000  0.0000 (multiplicity 1)
Pd  0.5000  0.5000  0.5000 (multiplicity 1)

***

No. 3
Computed, not measured: an optimized crystal structure of RbCdInGe2 at the PBE level of DFT.

Calculated values
As for the density of states at the Fermi level: 0.31 states/eV per atom. The formation energy comes out at -0.074 eV per atom. The energy above the most stable polymorph in this dataset comes out at 0.00 eV per formula unit.

Cell lengths 4.9340, 4.9340, 11.1338 Å; angles 90.00, 90.00, 90.00 degrees
Space group I-4m2 (No. 119)
Unique sites:
Rb  0.0000  0.0000  0.0000 (multiplicity 2)
Cd  0.0000  0.5000  0.7500 (multiplicity 2)
In  0.0000  0.5000  0.2500 (multiplicity 2)
Ge  0.0000  0.0000  0.3844 (multiplicity 4)

***

No. 4
Computed, not measured: an optimized crystal structure of Ca3HfC at the PBE level of DFT.

Calculated values
As for the density of states at the Fermi level: 1.29 states/eV per atom. The formation energy comes out at 0.715 eV per atom. The energy above the most stable polymorph in this dataset comes out at 0.00 eV per formula unit.

Cell lengths 5.1064, 5.1064, 5.1064 Å; angles 90.00, 90.00, 90.00 degrees
Space group Pm-3m (No. 221)
Unique sites:
Ca  0.0000  0.0000  0.5000 (multiplicity 3)
Hf  0.5000  0.5000  0.5000 (multiplicity 1)
C  0.0000  0.0000  0.0000 (multiplicity 1)

***

No. 5
Computed, not measured: an optimized crystal structure of PmHfTeO6 at the PBE level of DFT.

Calculated values
As for the calculated total energy: -7.748 eV/atom. As for the density of states at the Fermi level: 0.56 states/eV per atom.

Cell lengths 5.4842, 5.4842, 10.0414 Å; angles 90.00, 90.00, 120.00 degrees
Space group P-31c (No. 163)
Unique sites:
Pm  0.0000  0.0000  0.0000 (multiplicity 2)
Hf  0.3333  0.6667  0.2500 (multiplicity 2)
Te  0.3333  0.6667  0.7500 (multiplicity 2)
O  0.0034  0.3599  0.6388 (multiplicity 12)

***

No. 6
Computed, not measured: an optimized crystal structure of LiTh2Ga3Pd4 at the PBE level of DFT.

Calculated values
As for the density of states at the Fermi level: 0.76 states/eV per atom. The formation energy comes out at -0.718 eV per atom.

Cell lengths 4.1783, 4.1783, 10.9826 Å; angles 90.00, 90.00, 90.00 degrees
Space group P-4m2 (No. 115)
Unique sites:
Li  0.0000  0.0000  0.0000 (multiplicity 1)
Th  0.0000  0.5000  0.7457 (multiplicity 2)
Ga  0.0000  0.5000  0.3697 (multiplicity 2)
Ga  0.5000  0.5000  0.0000 (multiplicity 1)
Pd  0.0000  0.0000  0.5000 (multiplicity 1)
Pd  0.0000  0.5000  0.1394 (multiplicity 2)
Pd  0.5000  0.5000  0.5000 (multiplicity 1)

***

No. 7
Computed, not measured: an optimized crystal structure of Zr2TaNbN at the PBE level of DFT.

Calculated values
As for the density of states at the Fermi level: 0.75 states/eV per atom. The energy above the most stable polymorph in this dataset comes out at 0.00 eV per formula unit.

Cell lengths 4.5880, 4.5880, 4.1480 Å; angles 90.00, 90.00, 90.00 degrees
Space group P4/mmm (No. 123)
Unique sites:
Zr  0.0000  0.5000  0.0000 (multiplicity 2)
Ta  0.0000  0.0000  0.5000 (multiplicity 1)
Nb  0.5000  0.5000  0.5000 (multiplicity 1)
N  0.0000  0.0000  0.0000 (multiplicity 1)

***

No. 8
Computed, not measured: an optimized crystal structure of SmSb3Rh3 at the PBE level of DFT.

Calculated values
As for the calculated total energy: -5.776 eV/atom. As for the density of states at the Fermi level: 0.87 states/eV per atom.

Cell lengths 7.1262, 7.1262, 7.1262 Å; angles 90.00, 90.00, 90.00 degrees
Space group Pm-3n (No. 223)
Unique sites:
Sm  0.0000  0.0000  0.0000 (multiplicity 2)
Sb  0.0000  0.2500  0.5000 (multiplicity 6)
Rh  0.0000  0.5000  0.2500 (multiplicity 6)

***

No. 9
Computed, not measured: an optimized crystal structure of Ni2BiTe at the PBE level of DFT.

Calculated values
As for the calculated total energy: -4.483 eV/atom. As for the density of states at the Fermi level: 0.83 states/eV per atom.

Cell lengths 5.7998, 5.7998, 11.6383 Å; angles 90.00, 90.00, 90.00 degrees
Space group I-42d (No. 122)
Unique sites:
Ni  0.2295  0.2500  0.1250 (multiplicity 8)
Bi  0.0000  0.0000  0.5000 (multiplicity 4)
Te  0.0000  0.0000  0.0000 (multiplicity 4)

***

No. 10
Computed, not measured: an optimized crystal structure of Pr3Al9Au2 at the PBE level of DFT.

Calculated values
As for the density of states at the Fermi level: 0.24 states/eV per atom. The formation energy comes out at -0.528 eV per atom.

Cell lengths 4.3850, 10.3525, 12.6640 Å; angles 90.00, 90.00, 90.00 degrees
Space group Immm (No. 71)
Unique sites:
Pr  0.0000  0.0000  0.0000 (multiplicity 2)
Pr  0.0000  0.0000  0.3149 (multiplicity 4)
Al  0.0000  0.2762  0.1301 (multiplicity 8)
Al  0.0000  0.3711  0.3348 (multiplicity 8)
Al  0.0000  0.5000  0.0000 (multiplicity 2)
Au  0.0000  0.2206  0.5000 (multiplicity 4)

***

No. 11
Computed, not measured: an optimized crystal structure of Nd3SmEr at the PBE level of DFT.

Calculated values
As for the density of states at the Fermi level: 1.64 states/eV per atom. The formation energy comes out at 0.185 eV per atom. The energy above the most stable polymorph in this dataset comes out at 0.00 eV per formula unit.

Cell lengths 17.5817, 6.8518, 6.0984 Å; angles 90.00, 110.05, 90.00 degrees
Space group C2/m (No. 12)
Unique sites:
Nd  0.1526  0.2326  0.4021 (multiplicity 8)
Nd  0.2259  0.5000  0.9748 (multiplicity 4)
Sm  0.0000  0.5000  0.0000 (multiplicity 2)
Sm  0.0000  0.5000  0.5000 (multiplicity 2)
Er  0.0513  0.0000  0.8009 (multiplicity 4)

***

No. 12
Computed, not measured: an optimized crystal structure of Rb2Sb3Pd5 at the PBE level of DFT.

Calculated values
As for the calculated total energy: -4.295 eV/atom. As for the density of states at the Fermi level: 0.46 states/eV per atom.

Cell lengths 10.5961, 16.2825, 6.0413 Å; angles 90.00, 99.39, 90.00 degrees
Space group C2/c (No. 15)
Unique sites:
Rb  0.1004  0.2306  0.0457 (multiplicity 8)
Sb  0.0000  0.4543  0.2500 (multiplicity 4)
Sb  0.1664  0.0907  0.5184 (multiplicity 8)
Pd  0.0000  0.0066  0.7500 (multiplicity 4)
Pd  0.1083  0.3977  0.6485 (multiplicity 8)
Pd  0.2255  0.4478  0.0685 (multiplicity 8)

***

No. 13
Computed, not measured: an optimized crystal structure of KPb3Cl7 at the PBE level of DFT.

Calculated values
As for the calculated total energy: -3.573 eV/atom. As for the density of states at the Fermi level: 0.00 states/eV per atom.

Cell lengths 9.7592, 10.4396, 7.8817 Å; angles 90.00, 117.79, 90.00 degrees
Space group Cm (No. 8)
Unique sites:
K  0.0000  0.0000  0.0000 (multiplicity 2)
Pb  0.0272  0.2727  0.4623 (multiplicity 4)
Pb  0.4807  0.0000  0.9440 (multiplicity 2)
Cl  0.0443  0.0000  0.4332 (multiplicity 2)
Cl  0.1455  0.5000  0.7275 (multiplicity 2)
Cl  0.1643  0.3015  0.1989 (multiplicity 4)
Cl  0.3568  0.0000  0.2159 (multiplicity 2)
Cl  0.3630  0.2414  0.7092 (multiplicity 4)

***

No. 14
Computed, not measured: an optimized crystal structure of LaPmNd2Tl4 at the PBE level of DFT.

Calculated values
As for the density of states at the Fermi level: 0.91 states/eV per atom. The formation energy comes out at -0.393 eV per atom.

Cell lengths 5.5427, 5.5427, 27.1817 Å; angles 90.00, 90.00, 120.00 degrees
Space group R-3m (No. 166, hexagonal axes)
Unique sites:
La  0.0000  0.0000  0.0000 (multiplicity 3)
Pm  0.0000  0.0000  0.5000 (multiplicity 3)
Nd  0.0000  0.0000  0.2497 (multiplicity 6)
Tl  0.0000  0.0000  0.1261 (multiplicity 6)
Tl  0.0000  0.0000  0.3761 (multiplicity 6)

***

No. 15
Computed, not measured: an optimized crystal structure of LaTbHo14 at the PBE level of DFT.

Calculated values
As for the density of states at the Fermi level: 1.24 states/eV per atom. The formation energy comes out at 0.009 eV per atom.

Cell lengths 11.4537, 7.1189, 12.3192 Å; angles 90.00, 90.00, 90.00 degrees
Space group Amm2 (No. 38)
Unique sites:
La  0.0000  0.0000  0.0000 (multiplicity 2)
Tb  0.0000  0.0000  0.5002 (multiplicity 2)
Ho  0.0000  0.2498  0.2504 (multiplicity 4)
Ho  0.2502  0.0000  0.6672 (multiplicity 4)
Ho  0.2529  0.0000  0.1674 (multiplicity 4)
Ho  0.2535  0.2493  0.4168 (multiplicity 8)
Ho  0.5000  0.0000  0.3336 (multiplicity 2)
Ho  0.5000  0.0000  0.8333 (multiplicity 2)
Ho  0.5000  0.2494  0.5840 (multiplicity 4)

***

No. 16
Computed, not measured: an optimized crystal structure of LuMgZr at the PBE level of DFT.

Calculated values
As for the density of states at the Fermi level: 0.74 states/eV per atom. The formation energy comes out at -0.024 eV per atom. The energy above the most stable polymorph in this dataset comes out at 0.00 eV per formula unit.

Cell lengths 3.3337, 3.3337, 13.4710 Å; angles 90.00, 90.00, 90.00 degrees
Space group I4mm (No. 107)
Unique sites:
Lu  0.0000  0.0000  0.0000 (multiplicity 2)
Mg  0.0000  0.0000  0.6784 (multiplicity 2)
Zr  0.0000  0.0000  0.3383 (multiplicity 2)

***

No. 17
Computed, not measured: an optimized crystal structure of Rb3Pr3YTe8 at the PBE level of DFT.

Calculated values
As for the calculated total energy: -4.582 eV/atom. As for the density of states at the Fermi level: 0.62 states/eV per atom.

Cell lengths 9.1091, 9.1091, 26.5359 Å; angles 90.00, 90.00, 120.00 degrees
Space group R-3m (No. 166, hexagonal axes)
Unique sites:
Rb  0.0000  0.5000  0.0000 (multiplicity 9)
Pr  0.0000  0.5000  0.5000 (multiplicity 9)
Y  0.0000  0.0000  0.5000 (multiplicity 3)
Te  0.0000  0.0000  0.2359 (multiplicity 6)
Te  0.0080  0.5040  0.2338 (multiplicity 18)

***

No. 18
Computed, not measured: an optimized crystal structure of La4MnCu6S10 at the PBE level of DFT.

Calculated values
As for the calculated total energy: -5.711 eV/atom.

Cell lengths 6.6164, 7.3069, 8.8302 Å; angles 83.38, 74.35, 89.73 degrees
Space group P-1 (No. 2)
Unique sites:
La  0.0597  0.4104  0.2475 (multiplicity 2)
La  0.2775  0.0741  0.8279 (multiplicity 2)
Mn  0.5000  0.5000  0.5000 (multiplicity 1)
Cu  0.2248  0.7905  0.3481 (multiplicity 2)
Cu  0.3341  0.0964  0.4271 (multiplicity 2)
Cu  0.4416  0.6636  0.9518 (multiplicity 2)
S  0.0879  0.7298  0.0004 (multiplicity 2)
S  0.1286  0.2959  0.5748 (multiplicity 2)
S  0.3183  0.8062  0.5841 (multiplicity 2)
S  0.3195  0.0924  0.1677 (multiplicity 2)
S  0.4721  0.5842  0.2183 (multiplicity 2)

***

No. 19
Computed, not measured: an optimized crystal structure of Dy3Ho6Tm2In at the PBE level of DFT.

Calculated values
As for the density of states at the Fermi level: 1.37 states/eV per atom. The formation energy comes out at -0.036 eV per atom.

Cell lengths 6.0560, 10.4952, 11.5363 Å; angles 90.00, 100.15, 90.00 degrees
Space group C2/m (No. 12)
Unique sites:
Dy  0.0000  0.0000  0.0000 (multiplicity 2)
Dy  0.0000  0.3332  0.0000 (multiplicity 4)
Ho  0.2460  0.3352  0.7457 (multiplicity 8)
Ho  0.2482  0.5000  0.2528 (multiplicity 4)
Tm  0.0000  0.1661  0.5000 (multiplicity 4)
In  0.0000  0.5000  0.5000 (multiplicity 2)

***

No. 20
Computed, not measured: an optimized crystal structure of SnGe2N at the PBE level of DFT.

Calculated values
As for the density of states at the Fermi level: 0.53 states/eV per atom. The energy above the most stable polymorph in this dataset comes out at 2.99 eV per formula unit.

Cell lengths 6.5750, 6.5750, 6.5750 Å; angles 90.00, 90.00, 90.00 degrees
Space group Fm-3m (No. 225)
Unique sites:
Sn  0.0000  0.0000  0.0000 (multiplicity 4)
Ge  0.2500  0.2500  0.2500 (multiplicity 8)
N  0.0000  0.0000  0.5000 (multiplicity 4)

***

No. 21
Computed, not measured: an optimized crystal structure of Nd6SmHo3Tm2 at the PBE level of DFT.

Calculated values
As for the density of states at the Fermi level: 1.10 states/eV per atom. The formation energy comes out at 0.013 eV per atom.

Cell lengths 6.2617, 10.8449, 11.8378 Å; angles 90.00, 100.13, 90.00 degrees
Space group C2/m (No. 12)
Unique sites:
Nd  0.2493  0.1670  0.2496 (multiplicity 8)
Nd  0.2498  0.0000  0.7501 (multiplicity 4)
Sm  0.0000  0.5000  0.5000 (multiplicity 2)
Ho  0.0000  0.0000  0.0000 (multiplicity 2)
Ho  0.0000  0.3332  0.0000 (multiplicity 4)
Tm  0.0000  0.1666  0.5000 (multiplicity 4)

***

No. 22
Computed, not measured: an optimized crystal structure of NpU2Ga at the PBE level of DFT.

Calculated values
As for the density of states at the Fermi level: 1.85 states/eV per atom. The formation energy comes out at 0.162 eV per atom. The energy above the most stable polymorph in this dataset comes out at 0.30 eV per formula unit.

Cell lengths 3.6396, 3.6396, 22.1740 Å; angles 90.00, 90.00, 120.00 degrees
Space group R-3m (No. 166, hexagonal axes)
Unique sites:
Np  0.0000  0.0000  0.0000 (multiplicity 3)
U  0.0000  0.0000  0.2688 (multiplicity 6)
Ga  0.0000  0.0000  0.5000 (multiplicity 3)